[1]
A relaxed TlZnTcNi crystal. Source: OQMD, functional PBE.

Geometry as extended XYZ:
```
4
Lattice="3.890 -1.786 1.216 0.652 -4.385 -0.384 2.789 -1.573 -3.090" Properties=species:S:1:pos:R:3 pbc="T T T"
Ni 5.499 -5.807 -1.693
Tc 1.833 -1.936 -0.564
Tl 0.000 0.000 0.000
Zn 3.666 -3.872 -1.129
```

## Properties
Space group   F-43m, No. 216


[2]
A relaxed ZnGeNO crystal. Source: OQMD, functional PBE.

Geometry as extended XYZ:
```
8
Lattice="4.328 0.000 0.000 0.000 4.328 0.000 0.000 0.000 4.506" Properties=species:S:1:pos:R:3 pbc="T T T"
Ge 3.246 1.082 2.253
Ge 1.082 3.246 2.253
N 1.082 1.082 2.252
N 3.246 3.246 2.255
O 3.246 1.082 0.000
O 1.082 3.246 0.000
Zn 3.246 3.246 0.025
Zn 1.082 1.082 4.481
```

## Properties
Space group   P4/nmm, No. 129
Offset from the most stable computed form   0.211 eV per atom


[3]
A relaxed BaBeInAu crystal. Source: OQMD, functional PBE.

Geometry as extended XYZ:
```
4
Lattice="-0.415 -5.136 0.770 -4.430 -2.465 -1.202 -0.155 -3.241 -4.077" Properties=species:S:1:pos:R:3 pbc="T T T"
Au -3.750 -8.132 -3.382
Ba -2.500 -5.421 -2.255
Be -1.250 -2.711 -1.127
In 0.000 0.000 0.000
```

## Properties
Space group   F-43m, No. 216
Offset from the most stable computed form   0.000 eV per atom


[4]
A relaxed YMgAu2 crystal. Source: OQMD, functional PBE.

Geometry as extended XYZ:
```
8
Lattice="3.275 1.840 -2.756 -4.097 2.158 0.510 3.308 4.621 7.019" Properties=species:S:1:pos:R:3 pbc="T T T"
Au 1.102 2.344 -1.063
Au 2.187 3.859 1.239
Au 0.299 4.760 3.535
Au 1.384 6.276 5.837
Mg 0.000 0.000 0.000
Mg 1.654 2.311 3.509
Y -0.813 3.208 1.176
Y 3.299 5.412 3.597
```

## Properties
Space group   P6_3/mmc, No. 194


[5]
A relaxed ScInCoSe3 crystal. Source: OQMD, functional PBE.

Geometry as extended XYZ:
```
12
Lattice="-7.030 2.363 -0.249 -6.678 0.717 3.156 2.817 8.797 3.960" Properties=species:S:1:pos:R:3 pbc="T T T"
Co -5.825 3.667 2.375
Co -5.067 8.211 4.493
In -9.657 4.528 3.187
In -1.235 7.350 3.680
Sc 0.000 0.000 0.000
Sc 1.408 4.398 1.980
Se -4.917 1.722 1.341
Se -0.322 2.430 1.208
Se -3.877 4.970 2.803
Se -7.015 6.908 4.064
Se -10.570 9.448 5.660
Se -5.975 10.156 5.527
```

## Properties
Space group   Cmcm, No. 63
Offset from the most stable computed form   0.000 eV per atom


[6]
A relaxed NaPuBi2 crystal. Source: OQMD, functional PBE.

Geometry as extended XYZ:
```
4
Lattice="-0.522 3.415 -0.430 -2.865 -0.190 1.969 5.240 1.784 7.797" Properties=species:S:1:pos:R:3 pbc="T T T"
Bi -0.368 2.064 2.743
Bi 2.220 2.945 6.593
Na 0.000 0.000 0.000
Pu 2.620 0.892 3.898
```

## Properties
Space group   P4/mmm, No. 123


Looking at total energy for the records above, in order, we have -0.16344, -0.18713, -0.10456, -0.16217, -0.19233, -0.23111 hartree per atom.